The following is a DFT calculation (PBEsol) of a relaxed structure of K3Mg2Cl7.

```
K3Mg2Cl7
1.0
4.939 0.000 0.000
0.000 4.939 0.000
-2.470 -2.470 12.598
Cl Mg K
7 2 3
direct
0.697 0.697 0.393
0.096 0.596 0.192
0.303 0.303 0.607
0.404 0.904 0.808
0.596 0.096 0.192
0.904 0.404 0.808
0.500 0.500 0.000
0.400 0.400 0.801
0.600 0.600 0.199
0.818 0.818 0.637
0.182 0.182 0.363
0.000 0.000 0.000
```

Calculated values
Symmetry: I4/mmm (139)
Energy relative to the elements, uncorrected (kJ/mol of formula units): -2210.4
Density (kg/m³): 2237



The following is a DFT calculation (PBEsol) of a relaxed structure of K2MgCl.

```
K2MgCl
1.0
7.660 -0.155 0.000
-2.905 7.089 0.000
-2.378 -3.467 6.405
Cl K Mg
2 4 2
direct
0.000 0.000 0.000
0.250 0.750 0.500
0.625 0.052 0.927
0.125 0.698 0.073
0.948 0.875 0.573
0.302 0.375 0.427
0.500 0.500 0.000
0.750 0.250 0.500
```

Calculated values
Excess energy over the best structure of this formula in the dataset (meV per atom): 0
Symmetry: I-42d (122)
Energy relative to the elements, uncorrected (kJ/mol of formula units): -238.1
Density (kg/m³): 1328



The following is a DFT calculation (PBEsol) of a relaxed structure of KMgCl.

```
KMgCl
1.0
5.543 0.000 0.000
2.771 4.800 0.000
2.771 1.600 4.526
Cl K Mg
1 1 1
direct
0.000 0.000 0.000
0.500 0.500 0.500
0.250 0.250 0.250
```

Calculated values
Symmetry: F-43m (216)
Energy relative to the elements, uncorrected (kJ/mol of formula units): -127.8
Density (kg/m³): 1363



The following is a DFT calculation (PBEsol) of a relaxed structure of KMgCl2.

```
KMgCl2
1.0
5.241 0.000 0.000
2.621 4.539 0.000
2.621 1.513 4.279
Cl Mg K
2 1 1
direct
0.000 0.000 0.000
0.750 0.750 0.750
0.250 0.250 0.250
0.500 0.500 0.500
```

Calculated values
Excess energy over the best structure of this formula in the dataset (meV per atom): 634
Symmetry: F-43m (216)
Energy relative to the elements, uncorrected (kJ/mol of formula units): -291.4
Density (kg/m³): 2191



The following is a DFT calculation (PBEsol) of a relaxed structure of K2MgCl.

```
K2MgCl
1.0
4.140 0.000 0.000
0.000 5.849 0.000
0.000 0.000 5.855
Cl K Mg
1 2 1
direct
0.500 0.000 0.500
0.000 0.500 0.500
0.000 0.000 0.000
0.500 0.500 0.000
```

Calculated values
Excess energy over the best structure of this formula in the dataset (meV per atom): 47
Symmetry: P4/mmm (123)
Energy relative to the elements, uncorrected (kJ/mol of formula units): -220.1
Density (kg/m³): 1616



The following is a DFT calculation (PBEsol) of a relaxed structure of KMgCl2.

```
KMgCl2
1.0
3.842 0.000 0.000
0.000 5.184 0.000
0.000 0.000 5.184
Mg Cl K
1 2 1
direct
0.000 0.500 0.500
0.000 0.500 0.000
0.000 0.000 0.500
0.500 0.000 0.000
```

Calculated values
Excess energy over the best structure of this formula in the dataset (meV per atom): 0
Symmetry: P4/mmm (123)
Energy relative to the elements, uncorrected (kJ/mol of formula units): -535.9
Density (kg/m³): 2160



The following is a DFT calculation (PBEsol) of a relaxed structure of KMgCl2.

```
KMgCl2
1.0
4.063 0.000 0.000
-2.032 3.430 0.000
0.000 0.000 8.129
Cl Mg K
2 1 1
direct
0.000 0.000 0.234
0.000 0.000 0.766
0.500 0.000 0.000
0.500 0.000 0.500
```

Calculated values
Excess energy over the best structure of this formula in the dataset (meV per atom): 194
Symmetry: Cmmm (65)
Energy relative to the elements, uncorrected (kJ/mol of formula units): -461.0
Density (kg/m³): 1969



The following is a DFT calculation (PBEsol) of a relaxed structure of K3MnCl.

```
K3MnCl
1.0
-1.928 -6.128 -0.974
5.381 -2.159 2.933
-3.090 0.064 5.716
Mn K Cl
1 3 1
direct
0.000 0.000 0.000
0.500 0.000 0.000
0.000 0.000 0.500
0.000 0.500 0.000
0.500 0.500 0.500
```

Calculated values
Symmetry: Pm-3m (221)
Energy relative to the elements, uncorrected (kJ/mol of formula units): 165.4
Density (kg/m³): 1257



- Which of these has the lowest energy relative to the elements, uncorrected?
  K3Mg2Cl7